A plane-wave DFT calculation with PBE-GGA was carried out for an optimized crystal structure of PrEr7Tm5.

```
PrEr7Tm5
1.0
6.2302 0.0000 2.2830
2.9773 7.9297 1.5175
0.3834 -0.0978 8.5959
Tm Er Pr
5 7 1
Direct
0.5330 0.4621 0.0019
0.7701 0.7299 0.7299
0.5330 0.0019 0.4621
0.0030 0.0019 0.4621
0.0030 0.4621 0.0019
0.2649 0.2351 0.2351
0.2715 0.7285 0.7285
0.0189 0.3098 0.6525
0.5187 0.8103 0.1523
0.0189 0.6525 0.3098
0.5187 0.1523 0.8103
0.5785 0.4215 0.4215
0.9679 0.0321 0.0321
```

- Space group: Imm2


A plane-wave DFT calculation with PBE-GGA was carried out for an optimized crystal structure of Pr3ErTm4.

```
Pr3ErTm4
1.0
7.1933 0.0000 0.0000
0.0000 6.2051 0.0000
0.0000 0.0000 11.5571
Tm Pr Er
8 6 2
Direct
0.9376 0.6668 0.5000
0.4376 0.3332 0.0000
0.4395 0.0001 0.2498
0.1898 0.8355 0.0000
0.9395 0.9999 0.7498
0.4395 0.0001 0.7502
0.9395 0.9999 0.2502
0.6898 0.1645 0.5000
0.1895 0.1670 0.5000
0.6892 0.4951 0.7470
0.6892 0.4951 0.2530
0.6895 0.8330 0.0000
0.1892 0.5049 0.7530
0.1892 0.5049 0.2470
0.4410 0.6671 0.5000
0.9410 0.3329 0.0000
```

- Space group: Pmn2_1


A plane-wave DFT calculation with PBE-GGA was carried out for an optimized crystal structure of PrErTm2.

```
PrErTm2
1.0
-4.3976 -2.3529 -0.4204
0.7671 -2.2273 4.4416
-2.2750 3.8380 2.3175
Tm Er Pr
2 1 1
Direct
0.0000 0.0000 0.5000
0.0000 0.5000 0.0000
0.5000 0.5000 0.5000
0.5000 0.0000 0.0000
```

- Space group: P4/mmm


A plane-wave DFT calculation with PBE-GGA was carried out for an optimized crystal structure of Pr4Er3Tm4.

```
Pr4Er3Tm4
1.0
3.5157 0.0001 0.0020
0.0004 5.6595 0.0042
1.7473 2.8150 17.8091
Pr Tm Er
4 4 3
Direct
0.4090 0.9094 0.1810
0.7312 0.7314 0.5375
0.2688 0.2686 0.4626
0.5910 0.0907 0.8190
0.6810 0.1806 0.6390
0.3190 0.8195 0.3610
0.5456 0.5452 0.9099
0.4544 0.4548 0.0901
0.1360 0.6356 0.7293
0.0000 0.0000 0.0000
0.8640 0.3644 0.2707
```

- Space group: P-1


A plane-wave DFT calculation with PBE-GGA was carried out for an optimized crystal structure of Pr8ErTm6.

```
Pr8ErTm6
1.0
6.5740 0.0000 0.0000
0.0000 8.1657 -4.7145
0.0000 0.0000 9.4290
Pr Tm Er
8 6 1
Direct
0.8792 0.3333 0.6667
0.1691 0.9601 0.7111
0.1208 0.6667 0.3333
0.8309 0.2490 0.9601
0.8309 0.7111 0.7510
0.1691 0.2889 0.2490
0.8309 0.0399 0.2889
0.1691 0.7510 0.0399
0.6556 0.4384 0.3417
0.3444 0.3417 0.9033
0.3444 0.0967 0.4384
0.6556 0.9033 0.5616
0.6556 0.6583 0.0967
0.3444 0.5616 0.6583
0.5000 0.0000 0.0000
```

- Space group: P-3


A plane-wave DFT calculation with PBE-GGA was carried out for an optimized crystal structure of Pr2Er2Tm3.

```
Pr2Er2Tm3
1.0
7.9284 0.0000 -2.8031
-3.9642 6.8662 -2.8031
0.0000 0.0000 8.4093
Er Tm Pr
4 6 4
Direct
0.5865 0.0865 0.0865
0.5000 0.4135 0.5000
0.0000 0.0000 0.4135
0.9135 0.5000 0.0000
0.2500 0.9455 0.1955
0.4455 0.1955 0.7500
0.0545 0.3045 0.2500
0.8045 0.2500 0.5545
0.7500 0.5545 0.3045
0.6955 0.7500 0.9455
0.5000 0.8134 0.5000
0.0000 0.0000 0.8134
0.1866 0.6866 0.6866
0.3134 0.5000 0.0000
```

- Space group: I2_13


A plane-wave DFT calculation with PBE-GGA was carried out for an optimized crystal structure of Pr14ErTm.

```
Pr14ErTm
1.0
7.3034 0.9787 0.0000
-0.9810 7.3031 0.0000
0.0000 0.0000 10.4362
Pr Tm Er
14 1 1
Direct
0.3747 0.1247 0.5000
0.1252 0.3752 0.2466
0.1251 0.8749 0.7536
0.1252 0.3752 0.7534
0.6249 0.3751 0.7533
0.3754 0.1252 0.0000
0.8753 0.6253 0.5000
0.6248 0.8748 0.7534
0.6248 0.8748 0.2466
0.8748 0.6246 0.0000
0.1251 0.8749 0.2464
0.6249 0.3751 0.2467
0.3750 0.6250 0.5000
0.8748 0.1252 0.5000
0.3750 0.6250 0.0000
0.8751 0.1249 0.0000
```

- Space group: P4/mmm


A plane-wave DFT calculation with PBE-GGA was carried out for an optimized crystal structure of Pr8ErTm4.

```
Pr8ErTm4
1.0
-4.9933 2.8164 4.4250
-1.9231 -4.8893 -4.9843
5.6172 -7.4892 5.1792
Pr Tm Er
8 4 1
Direct
0.4982 0.2491 0.2858
0.5018 0.7509 0.7142
0.0367 0.7876 0.2858
0.9633 0.7509 0.7142
0.0367 0.2491 0.2858
0.9633 0.2124 0.7142
0.5762 0.7881 0.3642
0.4238 0.2119 0.6358
0.5000 0.5000 0.0000
0.0000 0.0000 0.0000
0.5000 0.0000 0.0000
0.0000 0.5000 0.0000
0.0000 0.5000 0.5000
```

- Space group: R-3m


A plane-wave DFT calculation with PBE-GGA was carried out for an optimized crystal structure of PrEr2Tm5.

```
PrEr2Tm5
1.0
-2.1990 -6.9855 4.7649
3.9780 -7.6030 4.5604
1.6303 1.8180 9.8851
Tm Pr Er
10 2 4
Direct
0.1941 0.8601 0.7491
0.3022 0.5640 0.4280
0.7878 0.0034 0.6054
0.2651 0.7199 0.0817
0.7911 0.8750 0.9904
0.8059 0.1399 0.2509
0.2122 0.9966 0.3946
0.7349 0.2801 0.9183
0.2089 0.1250 0.0096
0.6978 0.4360 0.5720
0.7120 0.6782 0.8070
0.2880 0.3218 0.1930
0.2909 0.4329 0.7945
0.7683 0.7772 0.3952
0.7091 0.5671 0.2055
0.2317 0.2228 0.6048
```

- Space group: P-1


A plane-wave DFT calculation with PBE-GGA was carried out for an optimized crystal structure of PrEr2Tm12.

```
PrEr2Tm12
1.0
6.3197 0.0000 0.0000
0.0000 6.3197 0.0000
0.0000 0.0000 24.8034
Tm Er Pr
24 4 2
Direct
0.0000 0.0000 0.7824
0.5000 0.5000 0.3417
0.1692 0.3308 0.4399
0.1825 0.3175 0.1198
0.1825 0.6825 0.8802
0.3308 0.8308 0.4399
0.0000 0.0000 0.6583
0.3308 0.1692 0.5601
0.3175 0.1825 0.8802
0.8308 0.6692 0.4399
0.0000 0.0000 0.2176
0.1692 0.6692 0.5601
0.3175 0.8175 0.1198
0.8175 0.6825 0.1198
0.0000 0.0000 0.3417
0.6692 0.1692 0.4399
0.6825 0.1825 0.1198
0.5000 0.5000 0.7824
0.8308 0.3308 0.5601
0.8175 0.3175 0.8802
0.6825 0.8175 0.8802
0.6692 0.8308 0.5601
0.5000 0.5000 0.6583
0.5000 0.5000 0.2176
0.5000 0.0000 0.2770
0.5000 0.0000 0.7230
0.0000 0.5000 0.7230
0.0000 0.5000 0.2770
0.0000 0.5000 0.0000
0.5000 0.0000 0.0000
```

- Space group: P4/nbm


A plane-wave DFT calculation with PBE-GGA was carried out for an optimized crystal structure of Pr7Er4Tm.

```
Pr7Er4Tm
1.0
-4.7198 -5.5433 0.5804
-5.9838 -3.8350 6.5655
-6.8819 5.7601 -0.8652
Pr Er Tm
7 4 1
Direct
0.7789 0.2210 0.3344
0.9690 0.2813 0.6648
0.2481 0.4990 0.9970
0.2211 0.7790 0.6656
0.5000 0.0000 0.0000
0.0310 0.7187 0.3352
0.7519 0.5010 0.0030
0.5297 0.7237 0.3322
0.4703 0.2763 0.6678
0.2804 0.2194 0.3362
0.7196 0.7806 0.6638
0.0000 0.0000 0.0000
```

- Space group: P-1


A plane-wave DFT calculation with PBE-GGA was carried out for an optimized crystal structure of Pr2Er6Tm.

```
Pr2Er6Tm
1.0
6.5428 -0.0835 -0.0808
1.6378 9.3816 -0.8210
1.6378 -0.5166 9.4033
Pr Er Tm
4 12 2
Direct
0.1243 0.6179 0.6704
0.6243 0.6704 0.6179
0.8757 0.3821 0.3296
0.3757 0.3296 0.3821
0.5035 0.6543 0.2746
0.3129 0.7778 0.9603
0.1871 0.0397 0.2222
0.2315 0.4603 0.0579
0.7685 0.5397 0.9421
0.9965 0.7254 0.3457
0.4965 0.3457 0.7254
0.0035 0.2746 0.6543
0.8129 0.9603 0.7778
0.6871 0.2222 0.0397
0.7315 0.0579 0.4603
0.2685 0.9421 0.5397
0.7500 0.8838 0.1162
0.2500 0.1162 0.8838
```

- Space group: C2/c


A plane-wave DFT calculation with PBE-GGA was carried out for an optimized crystal structure of Pr8Er4Tm.

```
Pr8Er4Tm
1.0
-5.0517 -3.5191 3.8400
1.3773 -1.9679 -6.8469
9.7465 -3.3277 2.9169
Pr Er Tm
8 4 1
Direct
0.0374 0.2493 0.2868
0.5766 0.7883 0.3649
0.0374 0.7881 0.2868
0.9626 0.7507 0.7132
0.4234 0.2117 0.6351
0.9626 0.2119 0.7132
0.4987 0.2493 0.2868
0.5013 0.7507 0.7132
0.0000 0.5000 0.0000
0.5000 0.0000 0.0000
0.0000 0.0000 0.0000
0.5000 0.5000 0.0000
0.0000 0.5000 0.5000
```

- Space group: R-3m


A plane-wave DFT calculation with PBE-GGA was carried out for an optimized crystal structure of Pr10Er6Tm.

```
Pr10Er6Tm
1.0
6.9285 0.0000 0.0000
0.0000 8.5496 -4.9361
0.0000 0.0000 9.8723
Pr Er Tm
10 6 1
Direct
0.5000 0.3333 0.6667
0.1826 0.7251 0.0000
0.8174 0.0000 0.2749
0.0000 0.3333 0.6667
0.8174 0.2749 0.0000
0.1826 0.2749 0.2749
0.8174 0.7251 0.7251
0.0000 0.6667 0.3333
0.1826 0.0000 0.7251
0.5000 0.6667 0.3333
0.6844 0.0000 0.6336
0.3156 0.6336 0.6336
0.3156 0.0000 0.3664
0.6844 0.3664 0.3664
0.6844 0.6336 0.0000
0.3156 0.3664 0.0000
0.5000 0.0000 0.0000
```

- Space group: P-31m


A plane-wave DFT calculation with PBE-GGA was carried out for an optimized crystal structure of Pr9ErTm2.

```
Pr9ErTm2
1.0
-3.7611 3.4012 -1.0087
-2.5181 -3.5950 -2.7326
-7.4968 -4.4896 12.8150
Er Pr Tm
1 9 2
Direct
0.0000 0.0000 0.0000
0.5000 0.5000 0.6666
0.5000 0.0000 0.8332
0.0000 0.5000 0.1668
0.5000 0.0000 0.1668
0.5000 0.5000 0.0000
0.5000 0.0000 0.5000
0.0000 0.5000 0.5000
0.5000 0.5000 0.3334
0.0000 0.5000 0.8332
0.0000 0.0000 0.6666
0.0000 0.0000 0.3334
```

- Space group: P4/mmm


A plane-wave DFT calculation with PBE-GGA was carried out for an optimized crystal structure of Pr12ErTm6.

```
Pr12ErTm6
1.0
0.9941 8.8078 -2.7504
3.6164 -5.2841 -6.7180
-9.1192 -1.7216 0.0875
Pr Tm Er
12 6 1
Direct
0.4830 0.1930 0.5818
0.1334 0.8292 0.2760
0.1930 0.5818 0.4830
0.8666 0.1708 0.7240
0.7240 0.8666 0.1708
0.8070 0.4182 0.5170
0.8292 0.2760 0.1334
0.5818 0.4830 0.1930
0.5170 0.8070 0.4182
0.1708 0.7240 0.8666
0.2760 0.1334 0.8292
0.4182 0.5170 0.8070
0.9248 0.8111 0.5428
0.4572 0.0752 0.1889
0.1889 0.4572 0.0752
0.0752 0.1889 0.4572
0.8111 0.5428 0.9248
0.5428 0.9248 0.8111
0.0000 0.0000 0.0000
```

- Space group: R-3


A plane-wave DFT calculation with PBE-GGA was carried out for an optimized crystal structure of Pr2Er5Tm4.

```
Pr2Er5Tm4
1.0
-1.8589 2.9115 0.0624
-9.6049 -6.1128 -0.9156
5.2029 1.0679 9.5325
Tm Pr Er
4 2 5
Direct
0.5897 0.5897 0.1794
0.0000 0.2773 0.0000
0.4103 0.4103 0.8206
0.0000 0.7227 0.0000
0.2034 0.2034 0.4068
0.7966 0.7966 0.5932
0.1775 0.8882 0.3549
0.8225 0.5333 0.6451
0.8225 0.1118 0.6451
0.1775 0.4667 0.3549
0.5000 0.0000 0.0000
```

- Space group: Immm


A plane-wave DFT calculation with PBE-GGA was carried out for an optimized crystal structure of PrEr3Tm7.

```
PrEr3Tm7
1.0
-4.1540 2.8198 -2.1609
-4.5705 -0.0955 8.6688
8.1322 2.7597 1.7931
Er Pr Tm
3 1 7
Direct
0.0000 0.5000 0.0000
0.2748 0.9930 0.7750
0.7252 0.0070 0.2250
0.5000 0.5000 0.5000
0.6753 0.3569 0.1754
0.8483 0.7103 0.3483
0.9322 0.8326 0.9322
0.3247 0.6431 0.8246
0.5000 0.0000 0.5000
0.1517 0.2897 0.6517
0.0678 0.1674 0.0678
```

- Space group: P2/m


no.,total magnetic moment (μB/atom),energy relative to the elements (meV per atom)
1,0.002,253
2,0.000,7
3,0.000,29
4,0.000,72
5,0.000,174
6,0.000,222
7,0.000,13
8,0.000,195
9,0.000,68
10,0.000,325
11,0.000,10
12,0.000,116
13,0.000,193
14,0.000,126
15,0.000,13
16,0.000,240
17,0.000,208
18,0.000,159